SiNi2Ir meta-GGA SCAN PBEsol geometry; SG = P4/mmm (123); ΔE_f (raw) = -0.45 eV/atom; volume = 11.56 Å³/atom; N(E_F) = 1.58 states/eV/f.u.; raw total energy = -28.82 eV/atom
1.0
-2.070 0.536 2.818
0.043 -3.469 0.692
2.996 0.459 2.114
Si Ni Ir
1 2 1
direct
0.500 0.500 0.500
0.000 0.500 0.000
0.500 0.000 0.000
0.000 0.000 0.500